No. 1
Compound: Ho3SOF5
Source: Alexandria via LeMat-Bulk
Functional: GGA-PBE
Structure: optimized geometry

Summary:
Its uncorrected formation energy is -3.7366 eV per atom.

a b c (Å): 9.3460 3.6501 9.4056
angles (deg): 90.00 119.49 90.00
With the nearest neighbours (Å) after each atom.
Space group Pm (No. 6)
Inequivalent atoms, fractional coordinates:
1 Ho 0.0000 0.0000 0.0000 x1  2 O 2.28, 5 F 2.28-2.45
2 Ho 0.1044 0.5000 0.6869 x1  1 O 2.24, 6 F 2.27-2.45
3 Ho 0.2719 0.5000 0.3733 x1  1 O 2.23, 6 F 2.27-2.49
4 Ho 0.5266 0.0000 0.8170 x1  7 F 2.28-2.38
5 Ho 0.7009 0.0000 0.5054 x1  5 F 2.28-2.51, 2 O 2.29
6 Ho 0.8219 0.5000 0.2366 x1  2 O 2.30-2.34, 5 F 2.33-2.43
7 S 0.0772 0.0000 0.4404 x1  6 Ho 2.86, 4 F 3.04-3.13, 4 O 3.07
8 S 0.7332 0.5000 0.7699 x1  6 Ho 2.85-2.99, 8 F 3.06-3.16
9 O 0.0212 0.5000 0.1548 x1  4 Ho 2.23-2.34
10 O 0.8406 0.5000 0.4895 x1  4 Ho 2.24-2.30
11 F 0.1294 0.5000 0.9397 x1  3 Ho 2.27-2.41
12 F 0.2593 0.0000 0.2199 x1  3 Ho 2.28-2.29
13 F 0.2831 0.0000 0.8178 x1  3 Ho 2.28-2.37
14 F 0.3571 0.5000 0.6688 x1  4 Ho 2.37-2.49, 5 F 2.59-2.61
15 F 0.4483 0.0000 0.5347 x1  4 Ho 2.38-2.51, 5 F 2.59-2.63
16 F 0.5167 0.5000 0.3763 x1  3 Ho 2.27-2.39
17 F 0.5617 0.5000 0.9825 x1  3 Ho 2.31-2.43, 2 F 2.58
18 F 0.6760 0.0000 0.2522 x1  3 Ho 2.28-2.33, 1 F 2.49
19 F 0.7816 0.0000 0.0550 x1  4 Ho 2.33-2.40, 3 F 2.49-2.58
20 F 0.9731 0.0000 0.7276 x1  4 Ho 2.33-2.45, 3 F 2.56-2.59

***

No. 2
Compound: K2CaRh2
Source: Alexandria via LeMat-Bulk
Functional: GGA-PBE
Structure: optimized geometry

Summary:
Its excess energy over the best structure of this formula in the dataset is 0.0 meV/atom.

a b c (Å): 7.1054 7.1054 5.6304
angles (deg): 90.00 90.00 90.00
With the nearest neighbours (Å) after each atom.
Space group P4/mbm (No. 127)
Inequivalent atoms, fractional coordinates:
1 K 0.1646 0.3354 0.0000 x4  1 K 3.31, 6 Rh 3.50-3.52
2 Ca 0.0000 0.0000 0.5000 x2  4 Rh 2.81
3 Rh 0.1255 0.6255 0.5000 x4  1 Rh 2.52, 2 Ca 2.81

***

Looking at total DFT energy (no corrections) for the records above, in order, we have -6.954, -3.374 eV per atom.